Entry from Alexandria via LeMat-Bulk: crystalline BaSi2Sb at its relaxed geometry (PBE-GGA).

Summary:
formation energy from raw total energies = 0.032 eV per atom
calculated density = 4.80 g cm⁻³
crystal system = orthorhombic

Cell lengths 3.648, 6.083, 9.820 Å; angles 90.00, 90.00, 90.00 degrees
Space group Imm2 (No. 44)
Inequivalent atoms, fractional coordinates:
1 Ba 0.000 0.000 0.000 [2 per cell]
2 Si 0.000 0.000 0.540 [2 per cell]
3 Si 0.000 0.500 0.199 [2 per cell]
4 Sb 0.000 0.500 0.821 [2 per cell]